Entry 1:
# AlCd4Hg

A geometry-optimized AlCd4Hg structure (GGA-PBE, Alexandria).

Cell: 5.8505 5.8505 5.8505 Å, 60.00 60.00 60.00°
Fractional coordinates of all 6 atoms:
Cd 0.3749 0.3749 0.8754
Cd 0.3749 0.8754 0.3749
Cd 0.3749 0.3749 0.3749
Cd 0.8754 0.3749 0.3749
Al 0.0000 0.0000 0.0000
Hg 0.7500 0.7500 0.7500

As for the symmetry: No. 216. As for the crystal system: cubic.



Entry 2:
# AlCdHg

A geometry-optimized AlCdHg structure (GGA-PBE, Alexandria).

Cell: 4.6464 4.6464 4.6464 Å, 60.00 60.00 60.00°
Fractional coordinates of all 3 atoms:
Cd 0.0000 0.0000 0.0000
Al 0.7500 0.7500 0.7500
Hg 0.5000 0.5000 0.5000

As for the symmetry: No. 216. As for the crystal system: cubic.



Entry 3:
# AlCd2Hg

A geometry-optimized AlCd2Hg structure (GGA-PBE, Alexandria).

Cell: 5.0587 5.0587 6.1980 Å, 74.58 74.58 35.76°
Fractional coordinates of all 4 atoms:
Hg 0.4862 0.4862 0.5000
Cd 0.0069 0.0069 0.9746
Cd 0.2481 0.2481 0.2471
Al 0.7589 0.7589 0.7782

The energy above the lowest structure with this stoichiometry is 9.6 meV/atom. As for the symmetry: No. 8. As for the crystal system: monoclinic.



Entry 4:
# AlCd2Hg2

A geometry-optimized AlCd2Hg2 structure (GGA-PBE, Alexandria).

Cell: 7.2963 7.2963 4.4825 Å, 90.00 90.00 90.00°
Fractional coordinates of all 10 atoms:
Hg 0.6532 0.1532 0.0000
Hg 0.1532 0.3468 0.0000
Hg 0.8468 0.6532 0.0000
Hg 0.3468 0.8468 0.0000
Cd 0.6545 0.8455 0.5000
Cd 0.1545 0.6545 0.5000
Cd 0.3455 0.1545 0.5000
Cd 0.8455 0.3455 0.5000
Al 0.0000 0.0000 0.0000
Al 0.5000 0.5000 0.0000

The energy above the lowest structure with this stoichiometry is 0.0 meV/atom. As for the symmetry: No. 127. As for the crystal system: tetragonal.



Entry 5:
# AlCdHg

A geometry-optimized AlCdHg structure (GGA-PBE, Alexandria).

Cell: 5.6583 5.6583 5.6583 Å, 148.91 135.87 54.96°
Fractional coordinates of all 3 atoms:
Cd 0.3387 0.3387 0.0000
Hg 0.6591 0.6591 0.0000
Al 0.0022 0.0022 0.0000

As for the symmetry: No. 44. As for the crystal system: orthorhombic.



Entry 6:
# AlCdHg

A geometry-optimized AlCdHg structure (GGA-PBE, Alexandria).

Cell: 3.1957 3.1955 14.4790 Å, 90.00 90.00 120.00°
Fractional coordinates of all 6 atoms:
Hg 0.4446 0.8893 0.0000
Hg 0.4439 0.8879 0.5000
Cd 0.1115 0.2229 0.1808
Cd 0.1115 0.2229 0.8192
Al 0.7776 0.5551 0.3429
Al 0.7776 0.5551 0.6571

As for the symmetry: No. 187. As for the crystal system: hexagonal.



Entry 7:
# AlCdHg2

A geometry-optimized AlCdHg2 structure (GGA-PBE, Alexandria).

Cell: 5.4435 5.4435 5.4435 Å, 131.04 131.04 71.76°
Fractional coordinates of all 4 atoms:
Cd 0.7500 0.2500 0.5000
Hg 0.0000 0.0000 0.0000
Hg 0.5000 0.5000 0.0000
Al 0.2500 0.7500 0.5000

As for the symmetry: No. 139. As for the crystal system: tetragonal.



Entry 8:
# AlCdHg2

A geometry-optimized AlCdHg2 structure (GGA-PBE, Alexandria).

Cell: 7.9323 7.9323 6.3970 Å, 51.68 51.68 90.00°
Fractional coordinates of all 8 atoms:
Al 0.2500 0.7500 0.5000
Al 0.5000 0.5000 0.0000
Hg 0.5998 0.1250 0.2500
Hg 0.8750 0.8498 0.7500
Hg 0.3750 0.4002 0.7500
Hg 0.1502 0.6250 0.2500
Cd 0.7500 0.2500 0.5000
Cd 0.0000 0.0000 0.0000

As for the symmetry: No. 122. As for the crystal system: tetragonal.



Entry 9:
# AlCd3Hg

A geometry-optimized AlCd3Hg structure (GGA-PBE, Alexandria).

Cell: 5.3893 5.3893 5.3893 Å, 90.00 90.00 90.00°
Fractional coordinates of all 5 atoms:
Hg 0.0000 0.0000 0.0000
Cd 0.0000 0.0000 0.5000
Cd 0.5000 0.0000 0.0000
Cd 0.0000 0.5000 0.0000
Al 0.5000 0.5000 0.5000

The energy above the lowest structure with this stoichiometry is 280.6 meV/atom. As for the symmetry: No. 221. As for the crystal system: cubic.



Entry 10:
# AlCdHg2

A geometry-optimized AlCdHg2 structure (GGA-PBE, Alexandria).

Cell: 5.0444 3.4024 5.9574 Å, 64.45 90.00 90.00°
Fractional coordinates of all 4 atoms:
Cd 0.5000 0.6248 0.7324
Hg 0.5000 0.4592 0.2601
Hg 0.0000 0.0881 0.0112
Al 0.0000 0.3279 0.4963

As for the symmetry: No. 6. As for the crystal system: monoclinic.



Entry 11:
# AlCd2Hg

A geometry-optimized AlCd2Hg structure (GGA-PBE, Alexandria).

Cell: 10.8437 10.8437 10.8437 Å, 16.29 16.29 16.29°
Fractional coordinates of all 4 atoms:
Cd 0.9941 0.9941 0.9941
Cd 0.7498 0.7498 0.7498
Al 0.2506 0.2506 0.2506
Hg 0.5057 0.5057 0.5057

The energy above the lowest structure with this stoichiometry is 0.0 meV/atom. As for the symmetry: No. 160. As for the crystal system: trigonal.



Entry 12:
# AlCd2Hg

A geometry-optimized AlCd2Hg structure (GGA-PBE, Alexandria).

Cell: 5.6144 5.6144 5.6144 Å, 141.52 123.22 70.69°
Fractional coordinates of all 4 atoms:
Cd 0.7472 0.2472 0.5000
Cd 0.0105 0.0105 0.0000
Al 0.2551 0.7551 0.5000
Hg 0.4871 0.4871 0.0000

The energy above the lowest structure with this stoichiometry is 64.5 meV/atom. As for the symmetry: No. 44. As for the crystal system: orthorhombic.



Entry 13:
# AlCd5Hg6

A geometry-optimized AlCd5Hg6 structure (GGA-PBE, Alexandria).

Cell: 9.3077 9.8507 7.1110 Å, 57.70 49.12 35.28°
Fractional coordinates of all 12 atoms:
Cd 0.3034 0.5000 0.3931
Cd 0.6485 0.0000 0.7030
Cd 0.6966 0.5000 0.6069
Cd 0.3515 0.0000 0.2970
Cd 0.0000 0.5000 0.0000
Hg 0.8335 0.7718 0.3206
Hg 0.8459 0.2282 0.3206
Hg 0.1541 0.7718 0.6794
Hg 0.5016 0.2726 0.0000
Hg 0.4984 0.7274 0.0000
Hg 0.1665 0.2282 0.6794
Al 0.0000 0.0000 0.0000

As for the symmetry: No. 12. As for the crystal system: monoclinic.



Entry 14:
# Al2Cd2Hg

A geometry-optimized Al2Cd2Hg structure (GGA-PBE, Alexandria).

Cell: 3.9835 3.9835 7.6899 Å, 74.99 74.99 90.00°
Fractional coordinates of all 5 atoms:
Cd 0.3980 0.3980 0.2040
Cd 0.6020 0.6020 0.7960
Al 0.7500 0.2500 0.5000
Al 0.2500 0.7500 0.5000
Hg 0.0000 0.0000 0.0000

The energy above the lowest structure with this stoichiometry is 33.7 meV/atom. As for the symmetry: No. 139. As for the crystal system: tetragonal.



no.,calculated formation energy (meV/atom)
1,189.7
2,119.8
3,98.9
4,151.8
5,159.4
6,122.8
7,146.1
8,143.1
9,517.8
10,133.5
11,89.4
12,153.9
13,41.1
14,175.5